Record 1
Material: Tb4Er4Mg
Method: DFT, GGA-PBE
State: optimized geometry

Properties
offset from the most stable computed form: 2 meV/atom
space-group type: P-1 (2)

a b c (Å): 7.837 8.589 9.266
angles (deg): 72.08 89.99 68.62
Sites, in units of the cell vectors:
Tb 0.024 0.057 0.306
Tb 0.082 0.169 0.916
Tb 0.142 0.279 0.528
Tb 0.472 0.942 0.196
Tb 0.528 0.058 0.804
Tb 0.858 0.721 0.472
Tb 0.918 0.831 0.084
Tb 0.976 0.943 0.694
Er 0.193 0.392 0.136
Er 0.250 0.501 0.750
Er 0.306 0.612 0.363
Er 0.362 0.723 0.973
Er 0.638 0.277 0.027
Er 0.694 0.388 0.637
Er 0.750 0.499 0.250
Er 0.807 0.608 0.864
Mg 0.418 0.833 0.584
Mg 0.582 0.167 0.416


Record 2
Material: Tb6Er3Mg
Method: DFT, GGA-PBE
State: optimized geometry

Properties
offset from the most stable computed form: 112 meV/atom
space-group type: Cmc2_1 (36)

a b c (Å): 8.717 8.717 9.027
angles (deg): 90.00 90.00 115.05
Sites, in units of the cell vectors:
Tb 0.063 0.937 0.500
Tb 0.148 0.289 0.318
Tb 0.170 0.478 0.985
Tb 0.289 0.148 0.818
Tb 0.296 0.704 0.369
Tb 0.478 0.170 0.485
Tb 0.522 0.830 0.985
Tb 0.704 0.296 0.869
Tb 0.711 0.852 0.318
Tb 0.830 0.522 0.485
Tb 0.852 0.711 0.818
Tb 0.937 0.063 0.000
Er 0.033 0.318 0.656
Er 0.318 0.033 0.156
Er 0.465 0.535 0.642
Er 0.535 0.465 0.142
Er 0.682 0.967 0.656
Er 0.967 0.682 0.156
Mg 0.240 0.760 0.721
Mg 0.760 0.240 0.221


What did we get for total DFT energy (no corrections)? Answer: -4.2366, -4.1766 eV/atom, in the order shown.
What did we get for energy of formation from the pure elements? Answer: 26, 130 meV/atom, in the order shown.